A geometry-optimized Ac2Ga3Ir2 structure. Source: the Alexandria database, functional PBE.

Lattice parameters (Å, degrees): 4.5552 7.1781 9.8941 90.00 103.31 90.00
Sites, in units of the cell vectors:
Ac: 0.9379 0.2500 0.8758
Ac: 0.1635 0.2500 0.3270
Ga: 0.7753 0.2500 0.5506
Ga: 0.5608 0.4265 0.1216
Ac: 0.0621 0.7500 0.1242
Ir: 0.3129 0.0537 0.6258
Ir: 0.3129 0.4463 0.6258
Ir: 0.6871 0.9463 0.3742
Ga: 0.5608 0.0735 0.1216
Ga: 0.2247 0.7500 0.4494
Ga: 0.4392 0.9265 0.8784
Ac: 0.8365 0.7500 0.6730
Ir: 0.6871 0.5537 0.3742
Ga: 0.4392 0.5735 0.8784

Results
The density of states at the Fermi level comes out at 5.6 states/eV/f.u. Its formation energy from the elements is -0.494 eV per atom. Its symmetry is Cmcm (63).


A geometry-optimized Ac4Ga2Ir structure. Source: the Alexandria database, functional PBE.

Lattice parameters (Å, degrees): 4.3260 6.7535 9.0053 109.74 103.90 90.00
Sites, in units of the cell vectors:
Ga: 0.2603 0.1369 0.5205
Ac: 0.0943 0.7296 0.1887
Ac: 0.6243 0.2400 0.2486
Ga: 0.7397 0.8631 0.4795
Ac: 0.3757 0.7600 0.7514
Ir: 0.0000 0.0000 0.0000
Ac: 0.9057 0.2704 0.8113

Results
The density of states at the Fermi level comes out at 6.1 states/eV/f.u. Its formation energy from the elements is -0.409 eV per atom. Its symmetry is C2/m (12).


A geometry-optimized AcGa3Ir structure. Source: the Alexandria database, functional PBE.

Lattice parameters (Å, degrees): 4.3033 7.0132 7.5000 90.00 90.01 90.00
Sites, in units of the cell vectors:
Ga: 0.7502 0.2500 0.3567
Ir: 0.7496 0.2500 0.0236
Ga: 0.7503 0.5623 0.8634
Ga: 0.2498 0.7500 0.6433
Ir: 0.2504 0.7500 0.9764
Ac: 0.7498 0.7500 0.3162
Ga: 0.2497 0.4377 0.1366
Ac: 0.2502 0.2500 0.6838
Ga: 0.7503 0.9377 0.8634
Ga: 0.2497 0.0623 0.1366

Results
The density of states at the Fermi level comes out at 1.7 states/eV/f.u. Its formation energy from the elements is -0.538 eV per atom. Its symmetry is Pmmn (59).


A geometry-optimized AcGa9Ir2 structure. Source: the Alexandria database, functional PBE.

Lattice parameters (Å, degrees): 7.7491 8.4172 8.4172 77.77 62.59 62.59
Sites, in units of the cell vectors:
Ac: 0.2500 0.5000 0.5000
Ga: 0.4430 0.4158 0.8269
Ga: 0.6857 0.1731 0.5842
Ir: 0.3750 0.7500 0.7500
Ga: 0.6088 0.3269 0.0842
Ir: 0.8750 0.2500 0.7500
Ga: 0.0199 0.9158 0.6731
Ga: 0.6857 0.5842 0.1731
Ga: 0.6088 0.0842 0.3269
Ir: 0.8750 0.7500 0.2500
Ga: 0.0000 0.0000 0.0000
Ga: 0.7301 0.8269 0.5842
Ga: 0.1412 0.4158 0.1731
Ga: 0.0199 0.6731 0.9158
Ga: 0.1412 0.1731 0.4158
Ir: 0.8750 0.2500 0.2500
Ga: 0.7500 0.5000 0.5000
Ga: 0.3070 0.6731 0.0842
Ga: 0.3070 0.0842 0.6731
Ga: 0.0643 0.9158 0.3269
Ga: 0.0643 0.3269 0.9158
Ga: 0.4430 0.8269 0.4158
Ga: 0.7301 0.5842 0.8269
Ac: 0.5000 0.0000 0.0000

Results
The density of states at the Fermi level comes out at 4.6 states/eV/f.u. Its formation energy from the elements is -0.363 eV per atom. Its symmetry is I4_1/amd (141).


A geometry-optimized Ac2Ga2Ir structure. Source: the Alexandria database, functional PBE.

Lattice parameters (Å, degrees): 4.1585 6.3965 11.0646 83.35 79.17 71.03
Sites, in units of the cell vectors:
Ac: 0.7176 0.2043 0.3604
Ac: 0.0947 0.6942 0.1164
Ir: 0.5672 0.1734 0.6923
Ga: 0.6183 0.8796 0.8838
Ga: 0.3817 0.1204 0.1162
Ac: 0.2824 0.7957 0.6395
Ac: 0.9053 0.3058 0.8836
Ga: 0.9691 0.6498 0.4119
Ga: 0.0309 0.3502 0.5881
Ir: 0.4328 0.8266 0.3077

Results
The density of states at the Fermi level comes out at 4.2 states/eV/f.u. Its formation energy from the elements is -0.627 eV per atom. Its symmetry is C2/m (12).


A geometry-optimized Ac2GaIr structure. Source: the Alexandria database, functional PBE.

Lattice parameters (Å, degrees): 4.3097 4.3097 10.2544 77.87 77.87 60.00
Sites, in units of the cell vectors:
Ac: 0.1127 0.1127 0.6618
Ir: 0.5000 0.5000 0.5000
Ac: 0.8873 0.8873 0.3382
Ga: 0.0000 0.0000 0.0000

Results
The density of states at the Fermi level comes out at 1.8 states/eV/f.u. Its formation energy from the elements is -0.210 eV per atom. Its symmetry is R-3m (166).


A geometry-optimized Ac3Ga9Ir2 structure. Source: the Alexandria database, functional PBE.

Lattice parameters (Å, degrees): 4.4790 8.5615 8.5615 75.23 74.84 74.84
Sites, in units of the cell vectors:
Ac: 0.6769 0.3231 0.3231
Ga: 0.3283 0.3113 0.0320
Ga: 0.6717 0.9680 0.6887
Ir: 0.5000 0.2639 0.7361
Ga: 0.6717 0.6887 0.9680
Ac: 0.3231 0.6769 0.6769
Ga: 0.0000 0.5000 0.5000
Ga: 0.3283 0.0320 0.3113
Ir: 0.5000 0.7361 0.2639
Ga: 0.8823 0.3985 0.8369
Ga: 0.1177 0.6015 0.1631
Ac: 0.0000 0.0000 0.0000
Ga: 0.8823 0.8369 0.3985
Ga: 0.1177 0.1631 0.6015

Results
The density of states at the Fermi level comes out at 8.1 states/eV/f.u. Its formation energy from the elements is -0.537 eV per atom. Its symmetry is Immm (71).


A geometry-optimized AcGa3Ir2 structure. Source: the Alexandria database, functional PBE.

Lattice parameters (Å, degrees): 4.2227 8.6814 10.3320 106.41 90.00 104.08
Sites, in units of the cell vectors:
Ga: 0.9527 0.9054 0.6459
Ir: 0.3638 0.7275 0.5524
Ir: 0.8038 0.6075 0.8780
Ir: 0.6362 0.2725 0.4476
Ga: 0.3326 0.6653 0.0391
Ga: 0.3662 0.7325 0.7954
Ga: 0.0473 0.0946 0.3541
Ga: 0.6674 0.3347 0.9609
Ac: 0.0000 0.0000 0.0000
Ga: 0.5000 0.0000 0.5000
Ac: 0.1599 0.3198 0.7110
Ga: 0.6338 0.2675 0.2046
Ga: 0.7816 0.5632 0.6060
Ac: 0.8401 0.6802 0.2890
Ir: 0.4788 0.9576 0.2235
Ir: 0.1962 0.3925 0.1220
Ir: 0.5212 0.0424 0.7765
Ga: 0.2184 0.4368 0.3940

Results
The density of states at the Fermi level comes out at 3.0 states/eV/f.u. Its formation energy from the elements is -0.611 eV per atom. Its symmetry is C2/m (12).


A geometry-optimized Ac3Ga3Ir2 structure. Source: the Alexandria database, functional PBE.

Lattice parameters (Å, degrees): 4.3135 6.1485 16.2008 90.00 90.00 110.53
Sites, in units of the cell vectors:
Ir: 0.2278 0.4555 0.1126
Ir: 0.2278 0.4555 0.3874
Ac: 0.3409 0.6817 0.7500
Ac: 0.9390 0.8780 0.3941
Ir: 0.7722 0.5445 0.8874
Ir: 0.7722 0.5445 0.6126
Ga: 0.3630 0.7261 0.2500
Ga: 0.6370 0.2739 0.7500
Ac: 0.0610 0.1220 0.6059
Ac: 0.6591 0.3183 0.2500
Ga: 0.6655 0.3310 0.0341
Ga: 0.3345 0.6690 0.5341
Ac: 0.0610 0.1220 0.8941
Ga: 0.3345 0.6690 0.9659
Ac: 0.9390 0.8780 0.1059
Ga: 0.6655 0.3310 0.4659

Results
The density of states at the Fermi level comes out at 5.4 states/eV/f.u. Its formation energy from the elements is -0.652 eV per atom. Its symmetry is Cmcm (63).


A geometry-optimized Ac3Ga4Ir4 structure. Source: the Alexandria database, functional PBE.

Lattice parameters (Å, degrees): 4.4885 4.3048 13.2358 81.88 80.34 90.15
Sites, in units of the cell vectors:
Ac: 0.1485 0.6601 0.7047
Ga: 0.3992 0.8844 0.2006
Ga: 0.6008 0.1156 0.7994
Ir: 0.3050 0.7953 0.3959
Ga: 0.7550 0.7522 0.4956
Ac: 0.8516 0.3399 0.2953
Ir: 0.6950 0.2047 0.6041
Ir: 0.4496 0.4277 0.0985
Ir: 0.5504 0.5723 0.9015
Ac: 0.0000 0.0000 0.0000
Ga: 0.2450 0.2479 0.5044

Results
The density of states at the Fermi level comes out at 7.5 states/eV/f.u. Its formation energy from the elements is -0.666 eV per atom. Its symmetry is P-1 (2).


A geometry-optimized Ac3Ga4Ir4 structure. Source: the Alexandria database, functional PBE.

Lattice parameters (Å, degrees): 4.3808 4.3973 13.1855 99.60 99.56 90.00
Sites, in units of the cell vectors:
Ac: 0.0000 0.0000 0.0000
Ir: 0.7504 0.7504 0.5007
Ga: 0.5526 0.5526 0.1052
Ga: 0.2005 0.7005 0.4009
Ac: 0.6518 0.1518 0.3036
Ir: 0.9005 0.4005 0.8009
Ir: 0.2496 0.2496 0.4993
Ac: 0.3482 0.8482 0.6964
Ga: 0.4474 0.4474 0.8948
Ga: 0.7995 0.2995 0.5991
Ir: 0.0995 0.5995 0.1991

Results
The density of states at the Fermi level comes out at 6.0 states/eV/f.u. Its formation energy from the elements is -0.682 eV per atom. Its symmetry is Immm (71).


A geometry-optimized Ac3Ga3Ir structure. Source: the Alexandria database, functional PBE.

Lattice parameters (Å, degrees): 4.5217 6.2989 14.7453 82.75 81.18 68.97
Sites, in units of the cell vectors:
Ac: 0.3855 0.3092 0.9197
Ga: 0.8230 0.8174 0.5366
Ir: 0.2357 0.9125 0.6162
Ga: 0.9646 0.8367 0.2341
Ac: 0.2624 0.2368 0.2385
Ga: 0.9045 0.1167 0.0743
Ac: 0.5198 0.3461 0.6142
Ac: 0.7376 0.7632 0.7615
Ga: 0.1770 0.1826 0.4634
Ga: 0.0955 0.8833 0.9257
Ac: 0.4802 0.6539 0.3858
Ga: 0.0354 0.1633 0.7659
Ir: 0.7643 0.0875 0.3838
Ac: 0.6145 0.6908 0.0803

Results
The density of states at the Fermi level comes out at 6.2 states/eV/f.u. Its formation energy from the elements is -0.575 eV per atom. Its symmetry is C2/m (12).


A geometry-optimized AcGaIr2 structure. Source: the Alexandria database, functional PBE.

Lattice parameters (Å, degrees): 6.2943 7.1754 8.6519 90.00 90.00 90.00
Sites, in units of the cell vectors:
Ir: 0.7801 0.2500 0.4354
Ir: 0.5000 0.0000 0.5000
Ir: 0.0000 0.0000 0.0000
Ac: 0.0000 0.2500 0.7407
Ac: 0.5000 0.2500 0.1491
Ga: 0.5000 0.7500 0.2948
Ir: 0.7801 0.7500 0.5646
Ga: 0.0000 0.7500 0.8024
Ir: 0.0000 0.5000 0.0000
Ir: 0.5000 0.5000 0.5000
Ga: 0.5000 0.2500 0.7052
Ac: 0.0000 0.7500 0.2593
Ir: 0.2199 0.7500 0.5646
Ac: 0.5000 0.7500 0.8509
Ga: 0.0000 0.2500 0.1976
Ir: 0.2199 0.2500 0.4354

Results
The density of states at the Fermi level comes out at 3.1 states/eV/f.u. Its formation energy from the elements is -0.142 eV per atom. Its symmetry is Pmma (51).


A geometry-optimized Ac5GaIr2 structure. Source: the Alexandria database, functional PBE.

Lattice parameters (Å, degrees): 8.3607 8.3607 9.3779 116.47 116.47 90.00
Sites, in units of the cell vectors:
Ga: 0.2500 0.2500 0.5000
Ac: 0.0000 0.0000 0.0000
Ac: 0.7025 0.2025 0.7299
Ir: 0.6379 0.1379 0.0000
Ir: 0.8621 0.6379 0.0000
Ac: 0.0274 0.5274 0.7299
Ir: 0.1379 0.3621 0.0000
Ac: 0.9726 0.4726 0.2701
Ga: 0.7500 0.7500 0.5000
Ir: 0.3621 0.8621 0.0000
Ac: 0.2975 0.7975 0.2701
Ac: 0.2025 0.0274 0.7299
Ac: 0.5274 0.7025 0.7299
Ac: 0.4726 0.2975 0.2701
Ac: 0.7975 0.9726 0.2701
Ac: 0.5000 0.5000 0.0000

Results
The density of states at the Fermi level comes out at 9.6 states/eV/f.u. Its formation energy from the elements is -0.516 eV per atom. Its symmetry is I4/mcm (140).


A geometry-optimized AcGa6Ir4 structure. Source: the Alexandria database, functional PBE.

Lattice parameters (Å, degrees): 4.0438 7.4267 7.4267 120.00 90.00 90.00
Sites, in units of the cell vectors:
Ir: 0.5000 0.7940 0.2060
Ga: 0.5000 0.1989 0.8011
Ga: 0.5000 0.1989 0.3977
Ga: 0.5000 0.6023 0.8011
Ga: 0.0000 0.5320 0.4680
Ir: 0.5000 0.7940 0.5880
Ir: 0.5000 0.4120 0.2060
Ga: 0.0000 0.5320 0.0640
Ir: 0.0000 0.3333 0.6667
Ac: 0.0000 0.0000 0.0000
Ga: 0.0000 0.9360 0.4680

Results
The density of states at the Fermi level comes out at 6.1 states/eV/f.u. Its formation energy from the elements is -0.542 eV per atom. Its symmetry is P-6m2 (187).


A geometry-optimized AcGa4Ir2 structure. Source: the Alexandria database, functional PBE.

Lattice parameters (Å, degrees): 4.2608 7.2137 17.7082 90.00 90.00 90.00
Sites, in units of the cell vectors:
Ac: 0.2500 0.0305 0.3845
Ga: 0.7500 0.0022 0.0968
Ac: 0.2500 0.4695 0.8845
Ir: 0.7500 0.0562 0.2351
Ir: 0.2500 0.6494 0.5345
Ir: 0.2500 0.8506 0.0345
Ga: 0.2500 0.5022 0.4032
Ir: 0.7500 0.1494 0.9655
Ga: 0.2500 0.2765 0.5422
Ga: 0.7500 0.3535 0.3142
Ga: 0.2500 0.2407 0.2035
Ga: 0.2500 0.9978 0.9032
Ac: 0.7500 0.5305 0.1155
Ir: 0.2500 0.9438 0.7649
Ac: 0.7500 0.9695 0.6155
Ga: 0.7500 0.7407 0.2965
Ga: 0.2500 0.2235 0.0422
Ga: 0.2500 0.6465 0.6858
Ir: 0.7500 0.3506 0.4655
Ga: 0.7500 0.4978 0.5968
Ga: 0.2500 0.2593 0.7035
Ir: 0.7500 0.4438 0.7351
Ir: 0.2500 0.5562 0.2649
Ga: 0.7500 0.7593 0.7965
Ga: 0.2500 0.8535 0.1858
Ga: 0.7500 0.7235 0.4578
Ga: 0.7500 0.7765 0.9578
Ga: 0.7500 0.1465 0.8142

Results
The density of states at the Fermi level comes out at 2.5 states/eV/f.u. Its formation energy from the elements is -0.612 eV per atom. Its symmetry is Pnma (62).


A geometry-optimized AcGa6Ir structure. Source: the Alexandria database, functional PBE.

Lattice parameters (Å, degrees): 4.4201 4.4201 8.2031 90.00 90.00 90.00
Sites, in units of the cell vectors:
Ir: 0.0000 0.0000 0.5000
Ga: 0.5000 0.0000 0.3347
Ac: 0.0000 0.0000 0.0000
Ga: 0.0000 0.5000 0.6653
Ga: 0.0000 0.5000 0.3347
Ga: 0.5000 0.5000 0.8492
Ga: 0.5000 0.0000 0.6653
Ga: 0.5000 0.5000 0.1508

Results
The density of states at the Fermi level comes out at 5.4 states/eV/f.u. Its formation energy from the elements is -0.487 eV per atom. Its symmetry is P4/mmm (123).


A geometry-optimized Ac3Ga3Ir structure. Source: the Alexandria database, functional PBE.

Lattice parameters (Å, degrees): 6.3411 9.1810 9.1810 120.00 90.00 90.00
Sites, in units of the cell vectors:
Ga: 0.7500 0.6162 0.9016
Ga: 0.7500 0.0984 0.7146
Ac: 0.7500 0.3991 0.1005
Ac: 0.7500 0.8995 0.2986
Ga: 0.2500 0.9016 0.2854
Ir: 0.7500 0.3333 0.6667
Ga: 0.2500 0.7146 0.6162
Ac: 0.2500 0.2986 0.3991
Ac: 0.2500 0.1005 0.7014
Ac: 0.2500 0.6009 0.8995
Ga: 0.7500 0.2854 0.3838
Ac: 0.7500 0.7014 0.6009
Ga: 0.2500 0.3838 0.0984
Ir: 0.2500 0.6667 0.3333

Results
The density of states at the Fermi level comes out at 7.0 states/eV/f.u. Its formation energy from the elements is -0.193 eV per atom. Its symmetry is P6_3/m (176).


A geometry-optimized Ac3Ga2Ir2 structure. Source: the Alexandria database, functional PBE.

Lattice parameters (Å, degrees): 4.5414 4.2913 10.0167 102.37 103.10 90.00
Sites, in units of the cell vectors:
Ir: 0.3565 0.8565 0.7131
Ga: 0.4321 0.4321 0.8641
Ac: 0.0000 0.0000 0.0000
Ac: 0.8143 0.3143 0.6286
Ga: 0.5679 0.5679 0.1359
Ac: 0.1857 0.6857 0.3714
Ir: 0.6435 0.1435 0.2869

Results
The density of states at the Fermi level comes out at 4.9 states/eV/f.u. Its formation energy from the elements is -0.642 eV per atom. Its symmetry is Immm (71).